## HfTcN2F (PBEsol)

Data for a relaxed HfTcN2F crystal.

## Properties
- Formation energy (no corrections): -316.5 meV per atom
- DOS(E_F): 3.04 states/eV/f.u.
- Magnetization: 0.00 μB per formula unit

a b c (Å): 3.839 3.874 3.874
angles (deg): 90.00 90.00 90.00
Sites, in units of the cell vectors:
N 0.000 0.500 0.000
Tc 0.000 0.000 0.000
N 0.000 0.000 0.500
Hf 0.500 0.500 0.500
F 0.500 0.000 0.000


## Si2Ge3P6O25 (PBEsol)

Data for a relaxed Si2Ge3P6O25 crystal.

## Properties
- Formation energy (no corrections): -2171.3 meV per atom
- DOS(E_F): 0.00 states/eV/f.u.
- Magnetization: 0.00 μB per formula unit

a b c (Å): 8.010 8.010 16.544
angles (deg): 90.00 90.00 120.00
Sites, in units of the cell vectors:
P 0.338 0.952 0.892
O 0.245 0.801 0.959
O 0.116 0.574 0.090
Ge 0.667 0.333 0.250
O 0.755 0.556 0.459
O 0.574 0.459 0.910
O 0.000 0.000 0.750
O 0.137 0.471 0.811
O 0.444 0.199 0.459
Si 0.000 0.000 0.347
O 0.335 0.471 0.689
O 0.541 0.116 0.910
O 0.954 0.793 0.617
O 0.863 0.529 0.189
O 0.245 0.444 0.541
O 0.556 0.801 0.541
O 0.459 0.574 0.410
Ge 0.333 0.667 0.024
O 0.541 0.426 0.590
P 0.614 0.952 0.608
Ge 0.333 0.667 0.750
O 0.426 0.541 0.090
O 0.137 0.665 0.689
O 0.471 0.137 0.311
O 0.665 0.529 0.311
O 0.426 0.884 0.410
O 0.046 0.207 0.383
P 0.386 0.048 0.392
O 0.199 0.755 0.541
P 0.386 0.338 0.108
O 0.046 0.839 0.117
O 0.863 0.335 0.311
O 0.839 0.793 0.883
O 0.755 0.199 0.041
O 0.574 0.116 0.590
Ge 0.333 0.667 0.476
Si 0.000 0.000 0.153
P 0.048 0.386 0.892
O 0.459 0.884 0.090
O 0.556 0.755 0.959
O 0.801 0.556 0.041
O 0.954 0.161 0.883
O 0.839 0.046 0.617
P 0.048 0.662 0.608
P 0.338 0.386 0.608
O 0.665 0.137 0.189
O 0.207 0.046 0.883
O 0.000 0.000 0.250
P 0.614 0.662 0.892
O 0.884 0.459 0.590
P 0.662 0.614 0.392
O 0.529 0.863 0.689
P 0.662 0.048 0.108
O 0.884 0.426 0.910
O 0.444 0.245 0.041
P 0.952 0.614 0.108
P 0.952 0.338 0.392
O 0.793 0.954 0.117
O 0.801 0.245 0.459
O 0.207 0.161 0.617
O 0.161 0.954 0.383
O 0.116 0.541 0.410
O 0.199 0.444 0.959
Ge 0.667 0.333 0.976
Ge 0.667 0.333 0.524
O 0.161 0.207 0.117
O 0.335 0.863 0.811
Si 0.000 0.000 0.653
O 0.529 0.665 0.811
Si 0.000 0.000 0.847
O 0.793 0.839 0.383
O 0.471 0.335 0.189


## TlRhBr (PBEsol)

Data for a relaxed TlRhBr crystal.

## Properties
- Formation energy (no corrections): 215.8 meV per atom
- DOS(E_F): 2.96 states/eV/f.u.
- Magnetization: 0.00 μB per formula unit

a b c (Å): 4.540 4.540 4.540
angles (deg): 60.00 60.00 60.00
Sites, in units of the cell vectors:
Rh 0.250 0.250 0.250
Tl 0.000 0.000 0.000
Br 0.500 0.500 0.500


## LiFePO4 (PBEsol)

Data for a relaxed LiFePO4 crystal.

## Properties
- Formation energy (no corrections): -1909.3 meV per atom
- DOS(E_F): 0.06 states/eV/f.u.
- Magnetization: 4.00 μB per formula unit

a b c (Å): 4.739 7.502 9.015
angles (deg): 90.00 90.00 90.00
Site moments in Bohr magnetons follow the coordinates.
Sites, in units of the cell vectors:
Li 0.090 0.367 0.515  0.00
Fe 0.805 0.259 0.081  3.53
O 0.719 0.684 0.879  0.03
Li 0.410 0.633 0.015  0.00
O 0.308 0.840 0.623  0.12
O 0.781 0.316 0.379  0.03
O 0.192 0.160 0.123  0.12
O 0.344 0.512 0.393  0.07
O 0.219 0.816 0.121  0.03
O 0.364 0.984 0.346  0.07
Li 0.590 0.133 0.485  0.00
O 0.136 0.016 0.846  0.07
Li 0.910 0.867 0.985  0.00
O 0.692 0.340 0.877  0.12
P 0.357 0.988 0.174  0.01
O 0.281 0.184 0.621  0.03
O 0.844 0.988 0.607  0.07
P 0.857 0.512 0.826  0.01
Fe 0.695 0.741 0.581  3.53
P 0.143 0.012 0.674  0.01
Fe 0.305 0.241 0.919  3.53
O 0.808 0.660 0.377  0.12
Fe 0.195 0.759 0.419  3.53
O 0.864 0.516 0.654  0.07
P 0.643 0.488 0.326  0.01
O 0.156 0.488 0.893  0.07
O 0.656 0.012 0.107  0.07
O 0.636 0.484 0.154  0.07


## Cs2KCoC6N6 (PBEsol)

Data for a relaxed Cs2KCoC6N6 crystal.

## Properties
- Formation energy (no corrections): -169.5 meV per atom
- DOS(E_F): 0.00 states/eV/f.u.
- Magnetization: 0.19 μB per formula unit

a b c (Å): 7.611 8.033 10.955
angles (deg): 90.00 89.42 90.00
Site moments in Bohr magnetons follow the coordinates.
Sites, in units of the cell vectors:
N 0.824 0.296 0.556  0.01
C 0.925 0.024 0.160  0.00
C 0.425 0.476 0.660  0.00
C 0.302 0.626 0.467  0.00
Cs 0.476 0.931 0.248  0.00
C 0.575 0.524 0.340  0.00
Cs 0.024 0.431 0.252  0.00
Cs 0.524 0.069 0.752  0.00
C 0.075 0.976 0.840  0.00
N 0.378 0.457 0.762  0.01
N 0.201 0.690 0.071  0.01
N 0.878 0.043 0.262  0.01
N 0.122 0.957 0.738  0.01
C 0.698 0.374 0.533  0.00
C 0.802 0.874 0.967  0.00
C 0.122 0.810 0.043  0.00
C 0.878 0.190 0.957  0.00
N 0.176 0.704 0.444  0.01
N 0.676 0.796 0.944  0.01
Co 0.500 0.500 0.500  0.15
Co 0.000 0.000 0.000  0.15
C 0.622 0.690 0.543  0.00
C 0.378 0.310 0.457  0.00
N 0.299 0.190 0.429  0.01
N 0.324 0.204 0.056  0.01
N 0.701 0.810 0.571  0.01
N 0.799 0.310 0.929  0.01
K 0.500 0.500 0.000  0.00
C 0.198 0.126 0.033  0.00
N 0.622 0.543 0.238  0.01
Cs 0.976 0.569 0.748  0.00
K 0.000 0.000 0.500  0.00


## YTa4In (PBEsol)

Data for a relaxed YTa4In crystal.

## Properties
- DFT formation energy: 5.33 kcal/mol of atoms
- DOS(E_F): 5.70 states/eV/f.u.
- Magnetization: 0.00 μB per formula unit

a b c (Å): 5.573 5.573 5.573
angles (deg): 60.00 60.00 60.00
Sites, in units of the cell vectors:
Ta 0.377 0.869 0.377
Ta 0.377 0.377 0.377
Ta 0.377 0.377 0.869
Ta 0.869 0.377 0.377
Y 0.750 0.750 0.750
In 0.000 0.000 0.000


## CaLaCd2 (PBEsol)

Data for a relaxed CaLaCd2 crystal.

## Properties
- DFT formation energy: -3.62 kcal/mol of atoms
- DOS(E_F): 2.97 states/eV/f.u.
- Magnetization: 0.00 μB per formula unit

a b c (Å): 5.271 5.271 5.271
angles (deg): 60.00 60.00 60.00
Sites, in units of the cell vectors:
Ca 0.500 0.500 0.500
La 0.250 0.250 0.250
Cd 0.000 0.000 0.000
Cd 0.750 0.750 0.750


## CdFePt2 (PBEsol)

Data for a relaxed CdFePt2 crystal.

## Properties
- DFT formation energy: -4.22 kcal/mol of atoms
- DOS(E_F): 2.26 states/eV/f.u.
- Magnetization: 3.58 μB per formula unit

a b c (Å): 2.816 3.667 5.858
angles (deg): 90.00 90.00 90.00
Site moments in Bohr magnetons follow the coordinates.
Sites, in units of the cell vectors:
Fe 0.500 0.500 0.500  3.08
Pt 0.000 0.000 0.271  0.24
Cd 0.500 0.500 0.000  -0.01
Pt 0.000 0.000 0.729  0.24